Entry 1:
Computed, not measured: BeP2Os after structural relaxation at the GGA-PBE level of DFT.

Summary:
energy relative to the elements	0.2871	eV/atom
volume	12.4	Å³/atom
crystal system	orthorhombic
spin magnetization	0.00	μB per formula unit

Cell lengths 4.1598, 4.1598, 3.0186 Å; angles 89.99, 89.99, 108.42 degrees
Last column: nearest neighbours and their distance in Å.
Element x y z (fractional)
1 P 0.0000 0.0000 0.0000  2 P 2.43, 4 Os 2.57, 4 Be 2.57
2 P 0.5000 0.5000 0.0000  2 P 2.43, 4 Be 2.57, 4 Os 2.57
3 Os 0.0000 0.5000 0.5000  2 Be 2.43, 8 P 2.57
4 Be 0.5000 0.0000 0.5000  2 Os 2.43, 8 P 2.57


Entry 2:
Computed, not measured: CaCePa2O8 after structural relaxation at the GGA-PBE level of DFT.

Summary:
energy	-9.121	eV/atom
volume	13.3	Å³/atom
crystal system	tetragonal
spin magnetization	0.00	μB per formula unit

Cell lengths 5.4337, 5.4337, 6.6226 Å; angles 114.22, 114.22, 90.00 degrees
Last column: nearest neighbours and their distance in Å.
Element x y z (fractional)
1 Ca 0.0000 0.0000 0.0000  8 O 2.42
2 Ce 0.7500 0.2500 0.5000  8 O 2.36
3 Pa 0.5000 0.5000 0.0000  8 O 2.30
4 Pa 0.2500 0.7500 0.5000  8 O 2.30-2.31
5 O 0.8722 0.8631 0.2545  2 Pa 2.30-2.31, 1 Ce 2.36, 1 Ca 2.42, 1 O 2.56
6 O 0.3823 0.3914 0.2545  2 Pa 2.30-2.31, 1 Ce 2.36, 1 Ca 2.42, 1 O 2.56
7 O 0.6085 0.6177 0.7453  2 Pa 2.30, 1 Ce 2.36, 1 Ca 2.42, 1 O 2.56
8 O 0.1368 0.1276 0.7453  2 Pa 2.30, 1 Ce 2.36, 1 Ca 2.42, 1 O 2.56
9 O 0.8724 0.3915 0.2547  2 Pa 2.30, 1 Ce 2.36, 1 Ca 2.42, 1 O 2.56
10 O 0.3823 0.8632 0.2547  2 Pa 2.30, 1 Ce 2.36, 1 Ca 2.42, 1 O 2.56
11 O 0.1369 0.6177 0.7455  2 Pa 2.30-2.31, 1 Ce 2.36, 1 Ca 2.42, 1 O 2.56
12 O 0.6086 0.1278 0.7455  2 Pa 2.30-2.31, 1 Ce 2.36, 1 Ca 2.42, 1 O 2.56


Entry 3:
Computed, not measured: LiYFe2 after structural relaxation at the GGA-PBE level of DFT.

Summary:
polymorph energy (0 for the lowest one)	461	meV/atom
energy relative to the elements	0.6072	eV/atom
volume	18.6	Å³/atom
crystal system	tetragonal
spin magnetization	3.44	μB per formula unit

Cell lengths 4.1575, 4.1575, 9.1008 Å; angles 76.80, 76.80, 90.00 degrees
Last column: nearest neighbours and their distance in Å.
Element x y z (fractional)
1 Y 0.0000 0.0000 0.0000  4 Li 2.94, 4 Fe 2.95
2 Y 0.7500 0.2500 0.5000  4 Li 2.94, 4 Fe 2.95
3 Fe 0.2909 0.1250 0.2500  2 Fe 2.19, 2 Li 2.42
4 Fe 0.4591 0.6250 0.2500  2 Fe 2.19, 2 Li 2.42
5 Fe 0.3750 0.7091 0.7500  2 Fe 2.19, 2 Li 2.42
6 Fe 0.8750 0.5409 0.7500  2 Fe 2.19, 2 Li 2.42
7 Li 0.5000 0.5000 0.0000  4 Fe 2.42
8 Li 0.2500 0.7500 0.5000  4 Fe 2.42


Entry 4:
Computed, not measured: Zr2InSi after structural relaxation at the GGA-PBE level of DFT.

Summary:
energy	-6.502	eV/atom
volume	21.7	Å³/atom
crystal system	tetragonal
spin magnetization	0.00	μB per formula unit

Cell lengths 7.6051, 7.6051, 6.1609 Å; angles 51.89, 51.89, 90.00 degrees
Last column: nearest neighbours and their distance in Å.
Element x y z (fractional)
1 Si 0.5000 0.5000 0.0000  4 Zr 2.68
2 Si 0.2500 0.7500 0.5000  4 Zr 2.68
3 Zr 0.6030 0.1250 0.2500  2 Si 2.68, 2 In 2.91
4 Zr 0.1470 0.6250 0.2500  2 Si 2.68, 2 In 2.91
5 Zr 0.3750 0.3970 0.7500  2 Si 2.68, 2 In 2.91
6 Zr 0.8750 0.8530 0.7500  2 Si 2.68, 2 In 2.91
7 In 0.0000 0.0000 0.0000  4 Zr 2.91, 2 Si 3.01
8 In 0.7500 0.2500 0.5000  4 Zr 2.91, 2 Si 3.01


Entry 5:
Computed, not measured: V2Pd3Pt4 after structural relaxation at the GGA-PBE level of DFT.

Summary:
energy relative to the elements	-0.3763	eV/atom
volume	14.9	Å³/atom
crystal system	monoclinic
spin magnetization	0.00	μB per formula unit

Cell lengths 3.8930, 4.7859, 8.3025 Å; angles 72.92, 76.44, 66.00 degrees
Last column: nearest neighbours and their distance in Å.
Element x y z (fractional)
1 V 0.3305 0.1128 0.2262  5 Pd 2.72-2.79, 7 Pt 2.72-2.81
2 V 0.6695 0.8872 0.7738  5 Pd 2.72-2.79, 7 Pt 2.72-2.81
3 Pd 0.3300 0.7835 0.5566  3 V 2.72-2.73, 3 Pd 2.73-2.83, 6 Pt 2.74-2.80
4 Pd 0.0000 0.0000 0.0000  8 Pt 2.70-2.76, 4 V 2.79
5 Pd 0.6700 0.2165 0.4434  3 V 2.72-2.73, 3 Pd 2.73-2.83, 6 Pt 2.74-2.80
6 Pt 0.6679 0.5552 0.1089  4 Pt 2.74-2.75, 4 Pd 2.75-2.77, 4 V 2.76-2.81
7 Pt 0.0005 0.3255 0.6735  6 Pd 2.70-2.80, 3 V 2.72-2.75, 3 Pt 2.75-2.87
8 Pt 0.9995 0.6745 0.3265  6 Pd 2.70-2.80, 3 V 2.72-2.75, 3 Pt 2.75-2.87
9 Pt 0.3321 0.4448 0.8911  4 Pt 2.74-2.75, 4 Pd 2.75-2.77, 4 V 2.76-2.81


Entry 6:
Computed, not measured: Ba2LiW after structural relaxation at the GGA-PBE level of DFT.

Summary:
polymorph energy (0 for the lowest one)	59	meV/atom
energy relative to the elements	1.0464	eV/atom
volume	33.3	Å³/atom
crystal system	orthorhombic
spin magnetization	2.62	μB per formula unit

Cell lengths 6.9422, 6.9422, 6.9422 Å; angles 147.69, 131.20, 59.74 degrees
Last column: nearest neighbours and their distance in Å.
Element x y z (fractional)
1 Ba 0.0383 0.0383 0.0000  2 W 3.44, 4 Li 3.64, 2 Ba 3.77
2 Ba 0.7421 0.2421 0.5000  4 W 3.48, 2 Li 3.76, 4 Ba 3.77-3.86
3 Li 0.4446 0.4446 0.0000  2 W 2.81
4 W 0.2750 0.7750 0.5000  2 Li 2.81


Entry 7:
Computed, not measured: Pm5GaRh4 after structural relaxation at the GGA-PBE level of DFT.

Summary:
energy relative to the elements	-0.6544	eV/atom
volume	22.4	Å³/atom
crystal system	tetragonal
spin magnetization	0.00	μB per formula unit

Cell lengths 3.5889, 3.5889, 17.3577 Å; angles 90.00, 90.00, 90.00 degrees
Last column: nearest neighbours and their distance in Å.
Element x y z (fractional)
1 Pm 0.5000 0.5000 0.1074  4 Rh 3.02, 4 Ga 3.15
2 Pm 0.5000 0.5000 0.3025  8 Rh 3.05-3.08, 1 Pm 3.39
3 Pm 0.5000 0.5000 0.5000  8 Rh 3.07, 2 Pm 3.43
4 Pm 0.5000 0.5000 0.6975  8 Rh 3.05-3.08, 1 Pm 3.39
5 Pm 0.5000 0.5000 0.8926  4 Rh 3.02, 4 Ga 3.15
6 Ga 0.0000 0.0000 0.0000  8 Pm 3.15, 2 Rh 3.50
7 Rh 0.0000 0.0000 0.2018  8 Pm 3.02-3.08
8 Rh 0.0000 0.0000 0.4003  8 Pm 3.05-3.07
9 Rh 0.0000 0.0000 0.5997  8 Pm 3.05-3.07
10 Rh 0.0000 0.0000 0.7982  8 Pm 3.02-3.08


Entry 8:
Computed, not measured: LaMn2Co after structural relaxation at the GGA-PBE level of DFT.

Summary:
energy relative to the elements	0.3454	eV/atom
volume	17.4	Å³/atom
crystal system	cubic
spin magnetization	1.58	μB per formula unit

Cell lengths 4.6173, 4.6173, 4.6173 Å; angles 119.97, 119.97, 90.04 degrees
Last column: nearest neighbours and their distance in Å.
Element x y z (fractional)
1 Co 0.5000 0.5000 0.0000  4 La 2.83, 4 Mn 2.83
2 La 0.7500 0.2500 0.5000  4 Mn 2.83, 4 Co 2.83
3 Mn 0.0000 0.0000 0.0000  4 La 2.83, 4 Mn 2.83
4 Mn 0.2500 0.7500 0.5000  4 Co 2.83, 4 Mn 2.83


Entry 9:
Computed, not measured: CaMg2Tl2Cd after structural relaxation at the GGA-PBE level of DFT.

Summary:
energy relative to the elements	-0.1959	eV/atom
volume	25.2	Å³/atom
crystal system	trigonal
spin magnetization	0.00	μB per formula unit

Cell lengths 5.1101, 5.1101, 6.6924 Å; angles 90.00, 90.00, 120.00 degrees
Last column: nearest neighbours and their distance in Å.
Element x y z (fractional)
1 Ca 0.0000 0.0000 0.0000  6 Tl 3.23, 2 Cd 3.35
2 Mg 0.3333 0.6667 0.6772  4 Tl 3.07-3.21, 3 Cd 3.18
3 Mg 0.6667 0.3333 0.3228  4 Tl 3.07-3.21, 3 Cd 3.18
4 Tl 0.3333 0.6667 0.1976  4 Mg 3.07-3.21, 3 Ca 3.23
5 Tl 0.6667 0.3333 0.8024  4 Mg 3.07-3.21, 3 Ca 3.23
6 Cd 0.0000 0.0000 0.5000  6 Mg 3.18, 2 Ca 3.35


Entry 10:
Computed, not measured: Pr2ScIrO6 after structural relaxation at the GGA-PBE level of DFT.

Summary:
energy	-7.971	eV/atom
volume	13.3	Å³/atom
crystal system	orthorhombic
spin magnetization	0.00	μB per formula unit

Cell lengths 5.6462, 5.7892, 8.1442 Å; angles 90.00, 90.00, 90.00 degrees
Last column: nearest neighbours and their distance in Å.
Element x y z (fractional)
1 Pr 0.5000 0.7705 0.2187  7 O 2.54-2.84
2 Pr 0.0000 0.2295 0.7187  7 O 2.54-2.84
3 Pr 0.5000 0.7705 0.7813  7 O 2.54-2.84
4 Pr 0.0000 0.2295 0.2813  7 O 2.54-2.84
5 Sc 0.5000 0.2550 0.5000  6 O 2.01-2.06
6 Sc 0.0000 0.7450 0.0000  6 O 2.01-2.06
7 Ir 0.0000 0.7481 0.5000  6 O 2.02-2.03
8 Ir 0.5000 0.2519 0.0000  6 O 2.02-2.03
9 O 0.5000 0.2280 0.2491  1 Ir 2.03, 1 Sc 2.05
10 O 0.5000 0.2280 0.7509  1 Ir 2.03, 1 Sc 2.05
11 O 0.0000 0.7720 0.2509  1 Ir 2.03, 1 Sc 2.05
12 O 0.0000 0.7720 0.7491  1 Ir 2.03, 1 Sc 2.05
13 O 0.2312 0.0141 0.5000  1 Ir 2.02, 1 Sc 2.06
14 O 0.7688 0.0141 0.5000  1 Ir 2.02, 1 Sc 2.06
15 O 0.2282 0.4789 0.5000  1 Sc 2.01, 1 Ir 2.02
16 O 0.7718 0.4789 0.5000  1 Sc 2.01, 1 Ir 2.02
17 O 0.7282 0.5211 0.0000  1 Sc 2.01, 1 Ir 2.02
18 O 0.2718 0.5211 0.0000  1 Sc 2.01, 1 Ir 2.02
19 O 0.2688 0.9859 0.0000  1 Ir 2.02, 1 Sc 2.06
20 O 0.7312 0.9859 0.0000  1 Ir 2.02, 1 Sc 2.06


Entry 11:
Computed, not measured: Ba2TbPtO5 after structural relaxation at the GGA-PBE level of DFT.

Summary:
energy	-6.501	eV/atom
volume	16.7	Å³/atom
crystal system	orthorhombic
spin magnetization	0.00	μB per formula unit

Cell lengths 3.5812, 7.2564, 11.9529 Å; angles 90.00, 90.00, 104.29 degrees
Last column: nearest neighbours and their distance in Å.
Element x y z (fractional)
1 Ba 0.8514 0.7029 0.8057  7 O 2.61-2.87
2 Ba 0.0975 0.1950 0.6873  4 O 2.59-2.66
3 Ba 0.1486 0.2971 0.3057  7 O 2.61-2.87
4 Ba 0.9025 0.8050 0.1873  4 O 2.59-2.66
5 Tb 0.7935 0.5870 0.5201  6 O 2.24-2.40
6 Tb 0.2065 0.4130 0.0201  6 O 2.24-2.40
7 Pt 0.5206 0.0413 0.9481  5 O 2.03-2.25
8 Pt 0.4794 0.9587 0.4481  5 O 2.03-2.25
9 O 0.3729 0.7458 0.9882  1 Pt 2.13, 1 Tb 2.37
10 O 0.6665 0.3330 0.8949  1 Pt 2.15, 2 Tb 2.40
11 O 0.4848 0.9696 0.7839  1 Pt 2.03
12 O 0.2774 0.5547 0.6393  2 Tb 2.30
13 O 0.9496 0.8993 0.5565  1 Tb 2.24, 2 Pt 2.25
14 O 0.6271 0.2542 0.4882  1 Pt 2.13, 1 Tb 2.37
15 O 0.3335 0.6670 0.3949  1 Pt 2.15, 2 Tb 2.40
16 O 0.5152 0.0304 0.2839  1 Pt 2.03
17 O 0.7226 0.4453 0.1393  2 Tb 2.30
18 O 0.0504 0.1007 0.0565  1 Tb 2.24, 2 Pt 2.25


Entry 12:
Computed, not measured: MoP3H after structural relaxation at the GGA-PBE level of DFT.

Summary:
polymorph energy (0 for the lowest one)	119	meV/atom
volume	20.5	Å³/atom
crystal system	cubic
spin magnetization	0.87	μB per formula unit

Cell lengths 4.6819, 4.6819, 4.6819 Å; angles 90.00, 90.00, 90.00 degrees
Last column: nearest neighbours and their distance in Å.
Element x y z (fractional)
1 P 0.0000 0.5000 0.0000  2 Mo 2.34
2 P 0.0000 0.0000 0.5000  2 Mo 2.34
3 P 0.5000 0.0000 0.0000  2 Mo 2.34
4 Mo 0.0000 0.0000 0.0000  6 P 2.34
5 H 0.5000 0.5000 0.5000  12 P 3.31